CeHF, optimized geometry, DFT GGA-PBE; crystal system = orthorhombic; SG = Pnma; energy relative to the lowest polymorph listed for this composition = 0 meV per atom
1.0
-2.317 0.829 -3.059
4.257 -1.459 -3.620
-2.601 -7.462 -0.051
F Ce H
4 4 4
direct
0.250 0.505 0.385 F
0.750 0.005 0.115 F
0.750 0.495 0.615 F
0.250 0.995 0.885 F
0.750 0.729 0.873 Ce
0.250 0.229 0.627 Ce
0.250 0.271 0.127 Ce
0.750 0.771 0.373 Ce
0.250 0.010 0.371 H
0.750 0.990 0.629 H
0.750 0.510 0.129 H
0.250 0.490 0.871 H